An optimized crystal structure of KTcPt3, computed with GGA-PBE.

a = 4.8227 Å, b = 4.8227 Å, c = 4.8227 Å
α = 90.00°, β = 90.00°, γ = 90.00°
Space group Pm-3m (No. 221)
Inequivalent atoms, fractional coordinates:
1 K 0.0000 0.0000 0.0000 x1
2 Tc 0.5000 0.5000 0.5000 x1
3 Pt 0.0000 0.0000 0.5000 x3

Output
The calculation puts the energy at -3.22 eV per atom. The calculation puts the calculated volume at 22.434 Å³/atom. As for the excess energy over the best structure of this formula in the dataset: 2016 meV/atom. The calculation puts the mass density at 10.69 g cm⁻³.